# 1
Sr4LiFe: single point on PBEsol structure, meta-GGA SCAN.

Cell lengths 10.149, 10.149, 10.149 Å; angles 90.00, 90.00, 90.00 degrees
Space group F-43m (No. 216)
Inequivalent atoms, fractional coordinates:
Sr: 0.124 0.124 0.124 x16
Li: 0.000 0.000 0.500 x4
Fe: 0.250 0.250 0.750 x4

Output
For the total magnetic moment, the calculation gives 11.48 Bohr magnetons per cell. The energy of formation from the pure elements is 0.889 eV per atom.

---

# 2
SrLiTi2Fe: single point on PBEsol structure, meta-GGA SCAN.

Cell lengths 4.440, 4.440, 5.230 Å; angles 90.00, 90.00, 90.00 degrees
Space group P4/mmm (No. 123)
Inequivalent atoms, fractional coordinates:
Sr: 0.000 0.000 0.000 x1
Li: 0.500 0.500 0.000 x1
Ti: 0.000 0.500 0.500 x2
Fe: 0.500 0.500 0.500 x1

Output
For the total magnetic moment, the calculation gives 0.00 Bohr magnetons per cell. The energy of formation from the pure elements is 0.376 eV per atom.

---

# 3
LiTaFe: single point on PBEsol structure, meta-GGA SCAN.

Cell lengths 2.9147, 2.9147, 6.3737 Å; angles 90.00, 90.00, 120.00 degrees
Space group P3m1 (No. 156)
Inequivalent atoms, fractional coordinates:
Li: 0.0000 0.0000 0.0000 x1
Ta: 0.3333 0.6667 0.6065 x1
Fe: 0.6667 0.3333 0.3322 x1

Output
For the total magnetic moment, the calculation gives 1.82 Bohr magnetons per cell. The energy of formation from the pure elements is 0.422 eV per atom.

---

# 4
LiTa2Fe: single point on PBEsol structure, meta-GGA SCAN.

Cell lengths 3.632, 3.632, 8.570 Å; angles 90.00, 90.00, 90.00 degrees
Space group I-4m2 (No. 119)
Inequivalent atoms, fractional coordinates:
Li: 0.000 0.000 0.000 x2
Ta: 0.000 0.000 0.500 x2
Ta: 0.000 0.500 0.250 x2
Fe: 0.000 0.500 0.750 x2

Output
For the total magnetic moment, the calculation gives 0.00 Bohr magnetons per cell. For the energy above the most stable polymorph in this dataset, the calculation gives 180 meV/atom. The energy of formation from the pure elements is 0.428 eV per atom.

---

# 5
LiTa2Fe: single point on PBEsol structure, meta-GGA SCAN.

Cell lengths 3.161, 4.400, 9.055 Å; angles 90.00, 90.00, 90.00 degrees
Space group Cmm2 (No. 35)
Inequivalent atoms, fractional coordinates:
Li: 0.000 0.000 0.000 x2
Ta: 0.000 0.000 0.552 x2
Ta: 0.000 0.500 0.283 x2
Fe: 0.000 0.500 0.770 x2

Output
For the total magnetic moment, the calculation gives 4.67 Bohr magnetons per cell. For the energy above the most stable polymorph in this dataset, the calculation gives 0 meV/atom. The energy of formation from the pure elements is 0.247 eV per atom.

---

# 6
LiTa2Fe: single point on PBEsol structure, meta-GGA SCAN.

Cell lengths 3.019, 4.288, 8.940 Å; angles 90.00, 90.00, 90.00 degrees
Space group Imm2 (No. 44)
Inequivalent atoms, fractional coordinates:
Li: 0.000 0.000 0.000 x2
Ta: 0.000 0.000 0.554 x2
Ta: 0.000 0.500 0.781 x2
Fe: 0.000 0.500 0.271 x2

Output
For the total magnetic moment, the calculation gives 0.00 Bohr magnetons per cell. For the energy above the most stable polymorph in this dataset, the calculation gives 54 meV/atom. The energy of formation from the pure elements is 0.302 eV per atom.

---

# 7
LiFeTc2: single point on PBEsol structure, meta-GGA SCAN.

Cell lengths 2.6206, 2.6206, 26.7190 Å; angles 90.00, 90.00, 120.00 degrees
Space group R-3m (No. 166, hexagonal axes)
Inequivalent atoms, fractional coordinates:
Li: 0.0000 0.0000 0.0000 x3
Fe: 0.0000 0.0000 0.5000 x3
Tc: 0.0000 0.0000 0.2430 x6

Output
For the total magnetic moment, the calculation gives 5.69 Bohr magnetons per cell. For the energy above the most stable polymorph in this dataset, the calculation gives 20 meV/atom. The energy of formation from the pure elements is 0.218 eV per atom.

---

# 8
LiFeTc2: single point on PBEsol structure, meta-GGA SCAN.

Cell lengths 3.580, 3.580, 7.725 Å; angles 90.00, 90.00, 90.00 degrees
Space group I4/mmm (No. 139)
Inequivalent atoms, fractional coordinates:
Li: 0.000 0.000 0.000 x2
Fe: 0.000 0.000 0.500 x2
Tc: 0.000 0.500 0.250 x4

Output
For the total magnetic moment, the calculation gives 4.16 Bohr magnetons per cell. For the energy above the most stable polymorph in this dataset, the calculation gives 4 meV/atom. The energy of formation from the pure elements is 0.203 eV per atom.